Record 1
Compound: Cs2InCuN
Source: the Alexandria database
Functional: meta-GGA SCAN
Structure: single point on PBEsol structure

```
data_Cs2InCuN
_cell_length_a 6.270
_cell_length_b 6.270
_cell_length_c 4.914
_cell_angle_alpha 90.00
_cell_angle_beta 90.00
_cell_angle_gamma 90.00
_symmetry_space_group_name_H-M 'P 4/m m m'
_symmetry_Int_Tables_number 123
_symmetry_space_group_name_Hall '-P 4 2'
loop_
_atom_site_label
_atom_site_type_symbol
_atom_site_fract_x
_atom_site_fract_y
_atom_site_fract_z
_atom_site_occupancy
Cs1 Cs 0.000 0.500 0.000 1
In1 In 0.000 0.000 0.500 1
Cu1 Cu 0.000 0.000 0.000 1
N1 N 0.500 0.500 0.500 1
```

Values from the calculation:
- Formation energy without anion corrections: 4.248 eV per formula unit
- VASP energy: -25.850 eV/atom

---

Record 2
Compound: Fe2CoIr
Source: the Alexandria database
Functional: meta-GGA SCAN
Structure: single point on PBEsol structure

```
data_Fe2CoIr
_cell_length_a 2.876
_cell_length_b 2.876
_cell_length_c 5.835
_cell_angle_alpha 90.00
_cell_angle_beta 90.00
_cell_angle_gamma 90.00
_symmetry_space_group_name_H-M 'P 4/m m m'
_symmetry_Int_Tables_number 123
_symmetry_space_group_name_Hall '-P 4 2'
loop_
_atom_site_label
_atom_site_type_symbol
_atom_site_fract_x
_atom_site_fract_y
_atom_site_fract_z
_atom_site_occupancy
Fe1 Fe 0.000 0.000 0.230 1
Co1 Co 0.500 0.500 0.000 1
Ir1 Ir 0.500 0.500 0.500 1
```

Values from the calculation:
- Energy of formation from the pure elements: -0.22 eV per atom
- VASP energy: -31.387 eV/atom

---

Record 3
Compound: Te2PbNO
Source: the Alexandria database
Functional: meta-GGA SCAN
Structure: single point on PBEsol structure

```
data_Te2PbNO
_cell_length_a 5.867
_cell_length_b 5.867
_cell_length_c 4.229
_cell_angle_alpha 90.00
_cell_angle_beta 90.00
_cell_angle_gamma 90.00
_symmetry_space_group_name_H-M 'P 4/m m m'
_symmetry_Int_Tables_number 123
_symmetry_space_group_name_Hall '-P 4 2'
loop_
_atom_site_label
_atom_site_type_symbol
_atom_site_fract_x
_atom_site_fract_y
_atom_site_fract_z
_atom_site_occupancy
Te1 Te 0.000 0.500 0.000 1
Pb1 Pb 0.000 0.000 0.000 1
N1 N 0.000 0.000 0.500 1
O1 O 0.500 0.500 0.500 1
```

Values from the calculation:
- Formation energy without anion corrections: 7.910 eV per formula unit
- VASP energy: -31.579 eV/atom

---

Record 4
Compound: CoOs2S
Source: the Alexandria database
Functional: meta-GGA SCAN
Structure: single point on PBEsol structure

```
data_CoOs2S
_cell_length_a 5.821
_cell_length_b 5.821
_cell_length_c 5.821
_cell_angle_alpha 90.00
_cell_angle_beta 90.00
_cell_angle_gamma 90.00
_symmetry_space_group_name_H-M 'F m -3 m'
_symmetry_Int_Tables_number 225
_symmetry_space_group_name_Hall '-F 4 2 3'
loop_
_atom_site_label
_atom_site_type_symbol
_atom_site_fract_x
_atom_site_fract_y
_atom_site_fract_z
_atom_site_occupancy
Co1 Co 0.000 0.000 0.000 1
Os1 Os 0.250 0.250 0.250 1
S1 S 0.000 0.000 0.500 1
```

Values from the calculation:
- Formation energy without anion corrections: 2.841 eV per formula unit
- VASP energy: -41.963 eV/atom

---

Record 5
Compound: TaTlCl2
Source: the Alexandria database
Functional: meta-GGA SCAN
Structure: single point on PBEsol structure

```
data_TaTlCl2
_cell_length_a 3.070
_cell_length_b 3.937
_cell_length_c 6.918
_cell_angle_alpha 90.00
_cell_angle_beta 90.00
_cell_angle_gamma 90.00
_symmetry_space_group_name_H-M 'P m m 2'
_symmetry_Int_Tables_number 25
_symmetry_space_group_name_Hall 'P 2 -2'
loop_
_atom_site_label
_atom_site_type_symbol
_atom_site_fract_x
_atom_site_fract_y
_atom_site_fract_z
_atom_site_occupancy
Ta1 Ta 0.000 0.000 0.000 1
Tl1 Tl 0.500 0.500 0.333 1
Cl1 Cl 0.000 0.000 0.656 1
Cl2 Cl 0.500 0.500 0.906 1
```

Values from the calculation:
- Energy above the most stable polymorph in this dataset: 10.32 kcal/mol of atoms
- Formation energy without anion corrections: -0.532 eV per formula unit
- VASP energy: -38.857 eV/atom

---

Record 6
Compound: ScTiAs2Br
Source: the Alexandria database
Functional: meta-GGA SCAN
Structure: single point on PBEsol structure

```
data_ScTiAs2Br
_cell_length_a 4.859
_cell_length_b 4.859
_cell_length_c 4.844
_cell_angle_alpha 90.00
_cell_angle_beta 90.00
_cell_angle_gamma 90.00
_symmetry_space_group_name_H-M 'P 4/m m m'
_symmetry_Int_Tables_number 123
_symmetry_space_group_name_Hall '-P 4 2'
loop_
_atom_site_label
_atom_site_type_symbol
_atom_site_fract_x
_atom_site_fract_y
_atom_site_fract_z
_atom_site_occupancy
Sc1 Sc 0.000 0.000 0.000 1
Ti1 Ti 0.500 0.500 0.500 1
As1 As 0.000 0.500 0.500 1
Br1 Br 0.500 0.500 0.000 1
```

Values from the calculation:
- Formation energy without anion corrections: -1.558 eV per formula unit
- VASP energy: -18.333 eV/atom

---

Record 7
Compound: BaCa2GaRu
Source: the Alexandria database
Functional: meta-GGA SCAN
Structure: single point on PBEsol structure

```
data_BaCa2GaRu
_cell_length_a 5.564
_cell_length_b 5.564
_cell_length_c 4.783
_cell_angle_alpha 90.00
_cell_angle_beta 90.00
_cell_angle_gamma 90.00
_symmetry_space_group_name_H-M 'P 4/m m m'
_symmetry_Int_Tables_number 123
_symmetry_space_group_name_Hall '-P 4 2'
loop_
_atom_site_label
_atom_site_type_symbol
_atom_site_fract_x
_atom_site_fract_y
_atom_site_fract_z
_atom_site_occupancy
Ba1 Ba 0.000 0.000 0.000 1
Ca1 Ca 0.000 0.500 0.500 1
Ga1 Ga 0.500 0.500 0.500 1
Ru1 Ru 0.500 0.500 0.000 1
```

Values from the calculation:
- Energy of formation from the pure elements: 0.21 eV per atom
- VASP energy: -21.799 eV/atom

---

Record 8
Compound: CsHfO2
Source: the Alexandria database
Functional: meta-GGA SCAN
Structure: single point on PBEsol structure

```
data_CsHfO2
_cell_length_a 3.7816
_cell_length_b 3.7816
_cell_length_c 23.1591
_cell_angle_alpha 90.00
_cell_angle_beta 90.00
_cell_angle_gamma 120.00
_symmetry_space_group_name_H-M 'R -3 m'
_symmetry_Int_Tables_number 166
_symmetry_space_group_name_Hall '-R 3 2"'
loop_
_atom_site_label
_atom_site_type_symbol
_atom_site_fract_x
_atom_site_fract_y
_atom_site_fract_z
_atom_site_occupancy
Cs1 Cs 0.0000 0.0000 0.0000 1
Hf1 Hf 0.0000 0.0000 0.5000 1
O1 O 0.0000 0.0000 0.4184 1
```

Values from the calculation:
- Formation energy without anion corrections: -5.885 eV per formula unit
- VASP energy: -29.708 eV/atom

---

Record 9
Compound: SrHg2Te2
Source: the Alexandria database
Functional: meta-GGA SCAN
Structure: single point on PBEsol structure

```
data_SrHg2Te2
_cell_length_a 5.648
_cell_length_b 5.648
_cell_length_c 9.542
_cell_angle_alpha 90.00
_cell_angle_beta 90.00
_cell_angle_gamma 90.00
_symmetry_space_group_name_H-M 'I 4/m m m'
_symmetry_Int_Tables_number 139
_symmetry_space_group_name_Hall '-I 4 2'
loop_
_atom_site_label
_atom_site_type_symbol
_atom_site_fract_x
_atom_site_fract_y
_atom_site_fract_z
_atom_site_occupancy
Sr1 Sr 0.000 0.000 0.000 1
Hg1 Hg 0.000 0.000 0.360 1
Te1 Te 0.000 0.500 0.250 1
```

Values from the calculation:
- Formation energy without anion corrections: -3.000 eV per formula unit
- VASP energy: -47.222 eV/atom

---

Record 10
Compound: CuSbRh2
Source: the Alexandria database
Functional: meta-GGA SCAN
Structure: single point on PBEsol structure

```
data_CuSbRh2
_cell_length_a 4.135
_cell_length_b 4.135
_cell_length_c 6.727
_cell_angle_alpha 90.00
_cell_angle_beta 90.00
_cell_angle_gamma 90.00
_symmetry_space_group_name_H-M 'I 4/m m m'
_symmetry_Int_Tables_number 139
_symmetry_space_group_name_Hall '-I 4 2'
loop_
_atom_site_label
_atom_site_type_symbol
_atom_site_fract_x
_atom_site_fract_y
_atom_site_fract_z
_atom_site_occupancy
Cu1 Cu 0.000 0.000 0.000 1
Sb1 Sb 0.000 0.000 0.500 1
Rh1 Rh 0.000 0.500 0.250 1
```

Values from the calculation:
- Energy above the most stable polymorph in this dataset: 0.00 kcal/mol of atoms
- Formation energy without anion corrections: -1.305 eV per formula unit
- VASP energy: -30.327 eV/atom

---

Record 11
Compound: Zr2MoW
Source: the Alexandria database
Functional: meta-GGA SCAN
Structure: single point on PBEsol structure

```
data_Zr2MoW
_cell_length_a 3.040
_cell_length_b 4.432
_cell_length_c 5.453
_cell_angle_alpha 90.00
_cell_angle_beta 90.00
_cell_angle_gamma 90.00
_symmetry_space_group_name_H-M 'P m m 2'
_symmetry_Int_Tables_number 25
_symmetry_space_group_name_Hall 'P 2 -2'
loop_
_atom_site_label
_atom_site_type_symbol
_atom_site_fract_x
_atom_site_fract_y
_atom_site_fract_z
_atom_site_occupancy
Zr1 Zr 0.000 0.000 0.000 1
Zr2 Zr 0.500 0.500 0.269 1
Mo1 Mo 0.000 0.000 0.533 1
W1 W 0.500 0.500 0.745 1
```

Values from the calculation:
- Energy of formation from the pure elements: 0.38 eV per atom
- Energy above the most stable polymorph in this dataset: 5.62 kcal/mol of atoms
- VASP energy: -41.117 eV/atom

---

Record 12
Compound: TlCoSe2N
Source: the Alexandria database
Functional: meta-GGA SCAN
Structure: single point on PBEsol structure

```
data_TlCoSe2N
_cell_length_a 5.345
_cell_length_b 5.345
_cell_length_c 4.119
_cell_angle_alpha 90.00
_cell_angle_beta 90.00
_cell_angle_gamma 90.00
_symmetry_space_group_name_H-M 'P 4/m m m'
_symmetry_Int_Tables_number 123
_symmetry_space_group_name_Hall '-P 4 2'
loop_
_atom_site_label
_atom_site_type_symbol
_atom_site_fract_x
_atom_site_fract_y
_atom_site_fract_z
_atom_site_occupancy
Tl1 Tl 0.000 0.000 0.000 1
Co1 Co 0.500 0.500 0.500 1
Se1 Se 0.000 0.500 0.000 1
N1 N 0.000 0.000 0.500 1
```

Values from the calculation:
- Formation energy without anion corrections: 7.418 eV per formula unit
- VASP energy: -26.339 eV/atom